La3PrCd8 (PBE, relaxed); electronic total energy = -2.57 eV/atom; energy of formation from the pure elements = -0.33 eV/atom
1.0
6.157 0.000 0.000
-3.079 5.332 0.000
0.000 0.000 9.585
Cd La Pr
8 3 1
Cartesian
0.000 3.555 4.791 Cd
0.000 3.555 0.006 Cd
4.593 2.652 7.181 Cd
0.000 1.741 2.404 Cd
1.571 4.462 2.404 Cd
1.564 2.652 7.181 Cd
3.079 0.029 7.181 Cd
-1.571 4.462 2.404 Cd
3.079 1.777 0.556 La
0.000 0.000 9.013 La
3.079 1.777 4.245 La
0.000 0.000 5.350 Pr

=====

La3Pr2Cd (PBE, relaxed); electronic total energy = -4.06 eV/atom; energy of formation from the pure elements = 0.15 eV/atom; distance to the lowest polymorph of the same formula = 246 meV per atom
1.0
6.566 0.000 0.000
0.000 6.058 0.000
-3.283 -3.029 5.207
Cd Pr La
1 2 3
Cartesian
3.283 0.756 0.000 Cd
0.000 3.776 1.882 Pr
3.283 0.746 3.325 Pr
0.000 0.745 0.000 La
0.000 0.753 3.630 La
3.283 3.782 1.577 La

=====

La6Pr2Cd (PBE, relaxed); electronic total energy = -4.50 eV/atom; energy of formation from the pure elements = -0.05 eV/atom; distance to the lowest polymorph of the same formula = 0 meV per atom
1.0
-2.779 -0.925 -2.340
5.823 -6.884 -4.193
-5.736 -2.397 7.760
Pr La Cd
2 6 1
Cartesian
-1.884 -3.891 3.775 Pr
1.969 -5.388 -0.207 Pr
0.061 -6.666 2.562 La
1.643 -1.942 -1.183 La
0.804 -8.862 -0.454 La
4.206 -7.558 -2.007 La
2.294 -4.817 -3.822 La
-1.358 -3.872 0.141 La
-1.388 -0.465 -1.171 Cd

=====

Which of these has the lowest energy of formation from the pure elements?
La3PrCd8

=====

Number 2 is which compound?
La3Pr2Cd

=====

The highest energy of formation from the pure elements belongs to which entry?
La3Pr2Cd